A geometry-optimized LiHf2Ni2 structure, computed with PBE-GGA.

Cell lengths 7.484, 7.484, 2.990 Å; angles 90.00, 90.00, 90.00 degrees
Fractional coordinates of all 10 atoms:
Li: 0.000 0.000 0.000
Li: 0.500 0.500 0.000
Hf: 0.157 0.343 0.000
Hf: 0.343 0.843 0.000
Hf: 0.657 0.157 0.000
Hf: 0.843 0.657 0.000
Ni: 0.135 0.635 0.500
Ni: 0.365 0.135 0.500
Ni: 0.635 0.865 0.500
Ni: 0.865 0.365 0.500

Values from the calculation:
The space group is P4/mbm. As for the crystal system: tetragonal. The polymorph energy (0 for the lowest one) is 64 kJ/mol of formula units. The value obtained for the calculated formation energy is -0.161 eV per atom. As for the size of the total moment: 0.000 μB/f.u.